5
Lattice="-2.0815 -0.9284 -2.6909 -0.4787 -3.1720 1.4647 -3.2780 1.4367 2.0399" Properties=species:S:1:pos:R:3 comment="PBE AlBNF2, relaxed" total_magnetization_mub_per_atom=0.000 space_group="P4/mmm (123)" e_above_lowest_polymorph_mev_per_atom=268.0 formation_energy_uncorrected_mev_per_atom=-606 pbc="T T T"
B -2.9191 -1.3318 0.4068
N -1.6390 0.7183 1.0200
Al 0.0000 0.0000 0.0000
F -0.2394 -1.5860 0.7323
F -1.0408 -0.4642 -1.3455

***

5
Lattice="5.0173 0.0000 0.0000 0.0000 4.6219 0.0000 0.0000 0.0000 5.0173" Properties=species:S:1:pos:R:3 comment="PBE Zr2NbBrO, relaxed" total_magnetization_mub_per_atom=0.000 space_group="P4/mmm (123)" formation_energy_uncorrected_mev_per_atom=1145 pbc="T T T"
O 2.5086 2.3109 2.5086
Nb 0.0000 2.3109 0.0000
Br 0.0000 0.0000 0.0000
Zr 0.0000 0.0000 2.5086
Zr 2.5086 0.0000 0.0000

***

4
Lattice="5.3042 0.0008 0.0219 4.3374 3.0531 0.0219 1.0987 0.3480 5.4514" Properties=species:S:1:pos:R:3 comment="PBE Sc2TaPb, relaxed" total_magnetization_mub_per_atom=0.000 formation_energy_ev_per_atom=0.133 space_group="C2/m (12)" pbc="T T T"
Pb 8.0552 2.5514 4.1214
Sc 9.6181 3.0465 0.0614
Sc 5.3936 1.7084 2.7300
Ta 2.6851 0.8505 1.3738

***

3
Lattice="-0.5941 -0.4845 4.7141 -4.0659 -1.8226 1.7196 -0.0217 -4.3510 1.9695" Properties=species:S:1:pos:R:3 comment="PBE SrZrPt, relaxed" total_magnetization_mub_per_atom=0.000 formation_energy_ev_per_atom=0.794 space_group="F-43m (216)" e_above_lowest_polymorph_mev_per_atom=1510.9 pbc="T T T"
Pt -2.3409 -3.3291 4.2016
Sr -3.5113 -4.9936 6.3024
Zr 0.0000 0.0000 0.0000

***

12
Lattice="6.7122 0.0000 0.0000 0.0000 9.8165 -5.6229 -0.0001 -2.3694 7.2439" Properties=species:S:1:pos:R:3 comment="PBE Y2TmTh3, relaxed" total_magnetization_mub_per_atom=0.000 formation_energy_ev_per_atom=0.184 space_group="Cmcm (63)" pbc="T T T"
Y 5.0341 3.4946 -0.0316
Y 1.6780 3.9526 1.6526
Y 1.6780 8.0213 -2.6244
Y 5.0341 -0.5742 4.2455
Tm 1.6781 2.2428 -1.2847
Tm 5.0342 7.5737 -4.3382
Th 0.0000 0.8407 1.4677
Th 3.3561 6.6065 0.1534
Th 0.0000 4.9083 -2.8114
Th 3.3561 4.9083 -2.8114
Th 0.0000 6.6065 0.1534
Th 3.3561 0.8407 1.4677

***

4
Lattice="4.1993 0.0000 0.0000 2.0997 3.6367 0.0000 2.0997 1.2122 13.2248" Properties=species:S:1:pos:R:3 comment="PBE Ba2AcI, relaxed" total_magnetization_mub_per_atom=0.200 space_group="R-3m (166)" e_above_lowest_polymorph_mev_per_atom=215.4 formation_energy_uncorrected_mev_per_atom=-379 pbc="T T T"
I 4.1993 2.4245 6.6124
Ac 0.0000 0.0000 0.0000
Ba 2.0997 1.2122 9.2365
Ba 6.2989 3.6367 3.9883